CrBiWO6 (PBE+U, optimized geometry); relative energy among the computed polymorphs = 106.7 meV per atom; SG = Imma (74); total energy = -7.0047 eV/atom
1.0
-3.513 3.708 5.162
3.513 -3.708 5.162
3.513 3.708 -5.162
Cr Bi W O
2 2 2 12
Cartesian
-1.756 1.854 2.581 Cr
1.756 1.854 2.581 Cr
0.000 0.000 0.000 Bi
0.000 3.708 0.000 Bi
3.513 0.000 0.000 W
0.000 0.000 5.162 W
2.083 0.419 1.239 O
4.942 0.419 1.239 O
3.513 1.854 -0.587 O
0.000 1.854 1.772 O
2.083 4.127 -1.239 O
1.430 0.419 3.923 O
2.083 3.289 1.239 O
1.430 -0.419 6.401 O
3.513 1.854 3.390 O
0.000 1.854 5.749 O
-1.430 3.289 3.923 O
1.430 3.289 3.923 O